VASP calculation (PBE) on PuCoGe2 after structural relaxation.

Cell: 6.759 4.188 10.042 Å, 90.00 90.00 90.00°
Fractional positions:
Pu (0.173, 0.250, 0.128)
Pu (0.327, 0.750, 0.628)
Pu (0.673, 0.250, 0.372)
Pu (0.827, 0.750, 0.872)
Co (0.018, 0.750, 0.391)
Co (0.482, 0.250, 0.891)
Co (0.518, 0.750, 0.109)
Co (0.982, 0.250, 0.609)
Ge (0.131, 0.250, 0.818)
Ge (0.189, 0.250, 0.426)
Ge (0.311, 0.750, 0.926)
Ge (0.369, 0.750, 0.318)
Ge (0.631, 0.250, 0.682)
Ge (0.689, 0.250, 0.074)
Ge (0.811, 0.750, 0.574)
Ge (0.869, 0.750, 0.182)

Results
Total energy in eV per atom: -8.078
Spin magnetization in μB per formula unit: 5.1
Energy of formation from the pure elements in eV/atom: -0.410
Space group: No. 62
Fermi-level density of states in states/eV/cell: 44.20

***

VASP calculation (PBE) on Pu2CoGe after structural relaxation.

Cell: 10.755 10.755 10.755 Å, 15.41 15.41 15.41°
Fractional positions:
Pu (0.095, 0.095, 0.095)
Pu (0.905, 0.905, 0.905)
Co (0.500, 0.500, 0.500)
Ge (0.000, 0.000, 0.000)

Results
Total energy in eV per atom: -9.699
Spin magnetization in μB per formula unit: 10.1
Energy of formation from the pure elements in eV/atom: 0.398
Space group: No. 166
Fermi-level density of states in states/eV/cell: 8.99

***

VASP calculation (PBE) on Pu2CoGe after structural relaxation.

Cell: 4.955 4.955 4.401 Å, 90.00 90.00 120.00°
Fractional positions:
Pu (0.333, 0.667, 0.000)
Pu (0.667, 0.333, 0.000)
Co (0.000, 0.000, 0.000)
Ge (0.000, 0.000, 0.500)

Results
Total energy in eV per atom: -10.005
Spin magnetization in μB per formula unit: 11.5
Energy of formation from the pure elements in eV/atom: 0.092
Space group: No. 191
Fermi-level density of states in states/eV/cell: 12.66

***

VASP calculation (PBE) on Pu2CoGe3 after structural relaxation.

Cell: 5.648 5.648 6.932 Å, 127.55 127.55 44.13°
Fractional positions:
Pu (0.000, 0.000, 0.000)
Pu (0.131, 0.131, 0.587)
Co (0.747, 0.747, 0.046)
Ge (0.371, 0.371, 0.180)
Ge (0.465, 0.465, 0.663)
Ge (0.758, 0.758, 0.406)

Results
Total energy in eV per atom: -8.650
Spin magnetization in μB per formula unit: 10.7
Energy of formation from the pure elements in eV/atom: -0.380
Space group: No. 8
Fermi-level density of states in states/eV/cell: 17.61
Excess energy over the best structure of this formula in the dataset in meV per atom: 0.0